The following is a DFT calculation (GGA-PBE) of crystalline LaPmPrAg at its relaxed geometry.

Computed properties:
Total magnetization = 0.0 μB/f.u.
VASP energy = -4.44 eV/atom
Energy above the lowest structure with this stoichiometry = 0 meV per atom
Formation energy from the elements = -0.11 eV/atom

```
LaPmPrAg
1.0
3.764 0.000 0.000
0.000 3.764 0.000
0.000 0.000 8.894
La Pm Pr Ag
1 1 1 1
direct
0.000 0.000 0.000
0.000 0.000 0.575
0.500 0.500 0.293
0.500 0.500 0.776
```

The following is a DFT calculation (GGA-PBE) of crystalline LaPmAgPt at its relaxed geometry.

Computed properties:
Total magnetization = 0.0 μB/f.u.
VASP energy = -5.31 eV/atom
Energy above the lowest structure with this stoichiometry = 36 meV per atom
Formation energy from the elements = -0.67 eV/atom

```
LaPmAgPt
1.0
0.000 3.691 3.691
3.691 0.000 3.691
3.691 3.691 0.000
La Pm Ag Pt
1 1 1 1
direct
0.000 0.000 0.000
0.500 0.500 0.500
0.750 0.750 0.750
0.250 0.250 0.250
```

- Number 1 is which compound?
  LaPmPrAg

- What is the formula in the first record?
  LaPmPrAg